# HfAsO2F (SCAN, single point on PBEsol structure)
# SG	P4/mmm (123)
# total magnetization	1.786	μB per cell
# energy relative to the elements, uncorrected	-14.9	kcal/mol of atoms
data_HfAsO2F
_chemical_formula_sum 'Hf1 As1 O2 F1'
_symmetry_space_group_name_H-M 'P 1'
_symmetry_Int_Tables_number 1
_cell_length_a 4.0524
_cell_length_b 4.0524
_cell_length_c 4.0707
_cell_angle_alpha 90.00
_cell_angle_beta 90.00
_cell_angle_gamma 90.00
loop_
_symmetry_equiv_pos_as_xyz
'x,y,z'
loop_
_atom_site_label
_atom_site_fract_x
_atom_site_fract_y
_atom_site_fract_z
Hf1 0.0000 0.0000 0.0000
As1 0.5000 0.5000 0.5000
O1 0.0000 0.5000 0.5000
O2 0.5000 0.0000 0.5000
F1 0.5000 0.5000 0.0000